The following is a DFT calculation (PBE) of crystalline SrCdGaAu3 at its relaxed geometry.

The formation energy is -204 kJ/mol of formula units. As for the crystal system: orthorhombic.

The structure belongs to space group Cmcm (No. 63); the cell edges are 6.3867, 12.9790 and 7.0050 Å and the angles 90.00°, 90.00° and 90.00°. The asymmetric unit holds Sr at (0.0000, 0.1915, 0.2500), Cd at (0.0000, 0.1414, 0.7500), Ga at (0.0000, 0.4373, 0.2500), Au at (0.0000, 0.3521, 0.7500) and Au at (0.2223, 0.0000, 0.0000).



The following is a DFT calculation (PBE) of crystalline Rb2TaCuCl6 at its relaxed geometry.

The uncorrected formation energy is -1226 meV/atom. As for the crystal system: cubic. For the energy above the lowest structure with this stoichiometry, the calculation gives 0 meV per atom.

The structure belongs to space group Fm-3m (No. 225); the cell edges are 10.1090, 10.1090 and 10.1090 Å and the angles 90.00°, 90.00° and 90.00°. The asymmetric unit holds Rb at (0.2500, 0.2500, 0.2500), Ta at (0.0000, 0.0000, 0.0000), Cu at (0.0000, 0.0000, 0.5000) and Cl at (0.0000, 0.0000, 0.2468).



The following is a DFT calculation (PBE) of crystalline Tl2HgPtPb at its relaxed geometry.

The formation energy is 55 kJ/mol of formula units. As for the crystal system: tetragonal. For the energy above the lowest structure with this stoichiometry, the calculation gives 77 meV per atom.

The structure belongs to space group P4/mmm (No. 123); the cell edges are 5.3093, 5.3093 and 5.3396 Å and the angles 90.00°, 90.00° and 90.00°. The asymmetric unit holds Tl at (0.0000, 0.5000, 0.0000), Hg at (0.0000, 0.0000, 0.5000), Pt at (0.0000, 0.0000, 0.0000) and Pb at (0.5000, 0.5000, 0.5000).



The following is a DFT calculation (PBE) of crystalline AlCr2Os at its relaxed geometry.

The formation energy is -2 kJ/mol of formula units. As for the crystal system: tetragonal.

The structure belongs to space group P4/mmm (No. 123); the cell edges are 2.7210, 2.7210 and 7.0851 Å and the angles 90.00°, 90.00° and 90.00°. The asymmetric unit holds Al at (0.0000, 0.0000, 0.0000), Cr at (0.5000, 0.5000, 0.2532) and Os at (0.0000, 0.0000, 0.5000).



The following is a DFT calculation (PBE) of crystalline LiTlPdF6 at its relaxed geometry.

The uncorrected formation energy is -1834 meV/atom. As for the crystal system: tetragonal.

The structure belongs to space group P4_2nm (No. 102); the cell edges are 5.0097, 5.0097 and 10.1098 Å and the angles 90.00°, 90.00° and 90.00°. The asymmetric unit holds Li at (0.0000, 0.0000, 0.0000), Tl at (0.0000, 0.0000, 0.6669), Pd at (0.0000, 0.0000, 0.3328), F at (0.1883, 0.1883, 0.1598), F at (0.1919, 0.1919, 0.8395) and F at (0.2016, 0.2016, 0.4989).



The following is a DFT calculation (PBE) of crystalline Ac2TlP at its relaxed geometry.

The formation energy is -178 kJ/mol of formula units. As for the crystal system: cubic. For the energy above the lowest structure with this stoichiometry, the calculation gives 394 meV per atom.

The structure belongs to space group Fm-3m (No. 225); the cell edges are 7.9289, 7.9289 and 7.9289 Å and the angles 90.00°, 90.00° and 90.00°. The asymmetric unit holds Ac at (0.2500, 0.2500, 0.2500), Tl at (0.0000, 0.0000, 0.0000) and P at (0.0000, 0.0000, 0.5000).



The following is a DFT calculation (PBE) of crystalline Tm4GePt3 at its relaxed geometry.

The formation energy is -929 kJ/mol of formula units. As for the crystal system: orthorhombic.

The structure belongs to space group Pmm2 (No. 25); the cell edges are 3.7976, 4.3131 and 10.6137 Å and the angles 90.00°, 90.00° and 90.00°. The asymmetric unit holds Tm at (0.0000, 0.0000, 0.0000), Tm at (0.0000, 0.5000, 0.2792), Tm at (0.5000, 0.0000, 0.4936), Tm at (0.5000, 0.5000, 0.7760), Ge at (0.0000, 0.0000, 0.7200), Pt at (0.0000, 0.5000, 0.5539), Pt at (0.5000, 0.0000, 0.2240) and Pt at (0.5000, 0.5000, 0.0455).



The following is a DFT calculation (PBE) of crystalline Ba6Na3In at its relaxed geometry.

The formation energy is -75 kJ/mol of formula units. As for the crystal system: monoclinic.

The structure belongs to space group P2_1/m (No. 11); the cell edges are 11.9528, 6.0199 and 14.4161 Å and the angles 90.00°, 100.88° and 90.00°. The asymmetric unit holds Ba at (0.0137, 0.2500, 0.3690), Ba at (0.2120, 0.7500, 0.2026), Ba at (0.3132, 0.2500, 0.6463), Ba at (0.3345, 0.2500, 0.0461), Ba at (0.3375, 0.7500, 0.8596), Ba at (0.4296, 0.2500, 0.3595), Na at (0.0138, 0.7500, 0.9298), Na at (0.1055, 0.2500, 0.8207), Na at (0.2478, 0.7500, 0.4754) and In at (0.4836, 0.7500, 0.1402).



The following is a DFT calculation (PBE) of crystalline FeCo2GeN at its relaxed geometry.

The uncorrected formation energy is -29 meV/atom. As for the crystal system: tetragonal.

The structure belongs to space group P4/mmm (No. 123); the cell edges are 3.7555, 3.7555 and 3.8291 Å and the angles 90.00°, 90.00° and 90.00°. The asymmetric unit holds Fe at (0.0000, 0.0000, 0.0000), Co at (0.0000, 0.5000, 0.5000), Ge at (0.5000, 0.5000, 0.0000) and N at (0.0000, 0.0000, 0.5000).



The following is a DFT calculation (PBE) of crystalline La2ScAs at its relaxed geometry.

The formation energy is -230 kJ/mol of formula units. As for the crystal system: monoclinic.

The structure belongs to space group Cm (No. 8); the cell edges are 12.1769, 3.8029 and 5.2978 Å and the angles 90.00°, 113.91° and 90.00°. The asymmetric unit holds La at (0.0000, 0.0000, 0.0000), La at (0.1994, 0.0000, 0.6384), Sc at (0.2955, 0.5000, 0.2482) and As at (0.4701, 0.0000, 0.4901).



The following is a DFT calculation (PBE) of crystalline LiTcP2 at its relaxed geometry.

The formation energy is -100 kJ/mol of formula units. As for the crystal system: cubic. For the energy above the lowest structure with this stoichiometry, the calculation gives 174 meV per atom.

The structure belongs to space group Fm-3m (No. 225); the cell edges are 5.9104, 5.9104 and 5.9104 Å and the angles 90.00°, 90.00° and 90.00°. The asymmetric unit holds Li at (0.0000, 0.0000, 0.0000), Tc at (0.0000, 0.0000, 0.5000) and P at (0.2500, 0.2500, 0.2500).



The following is a DFT calculation (PBE) of crystalline Pm2SmNpSb4 at its relaxed geometry.

The uncorrected formation energy is -929 meV/atom. As for the crystal system: monoclinic.

The structure belongs to space group P2/m (No. 10); the cell edges are 7.7311, 4.4628 and 7.7317 Å and the angles 90.00°, 109.34° and 90.00°. The asymmetric unit holds Pm at (0.0000, 0.0000, 0.0000), Pm at (0.5000, 0.5000, 0.0000), Sm at (0.0000, 0.5000, 0.5000), Np at (0.5000, 0.0000, 0.5000), Sb at (0.2519, 0.0000, 0.7462) and Sb at (0.2539, 0.5000, 0.2549).



Number 1: mass density 9.84 Mg/m³. Number 2: mass density 4.04 Mg/m³. Number 3: mass density 11.16 Mg/m³. Number 4: mass density 10.17 Mg/m³. Number 5: mass density 5.65 Mg/m³. Number 6: mass density 9.19 Mg/m³. Number 7: mass density 12.74 Mg/m³. Number 8: mass density 3.29 Mg/m³. Number 9: mass density 8.01 Mg/m³. Number 10: mass density 5.89 Mg/m³. Number 11: mass density 5.37 Mg/m³. Number 12: mass density 7.68 Mg/m³.